Entry 1:
# PrNiHgRh

A geometry-optimized PrNiHgRh structure (PBE, Alexandria).

Unit cell a=4.7757 b=4.7757 c=4.7757 alpha=60.00 beta=60.00 gamma=60.00
With the nearest neighbours (Å) after each atom.
Atoms (fractional coordinates):
Pr (0.0000, 0.0000, 0.0000)  4 Ni 2.92, 4 Rh 2.92
Ni (0.7500, 0.7500, 0.7500)  4 Hg 2.92, 4 Pr 2.92
Hg (0.5000, 0.5000, 0.5000)  4 Ni 2.92, 4 Rh 2.92
Rh (0.2500, 0.2500, 0.2500)  4 Hg 2.92, 4 Pr 2.92

Results
SG   F-43m, No. 216
DFT formation energy   -0.2193 eV/atom


Entry 2:
# Pr2Ni4Sn3Hg

A geometry-optimized Pr2Ni4Sn3Hg structure (PBE, Alexandria).

Unit cell a=4.5071 b=4.5071 c=10.0522 alpha=90.00 beta=90.00 gamma=90.00
With the nearest neighbours (Å) after each atom.
Atoms (fractional coordinates):
Pr (0.0000, 0.5000, 0.2377)  8 Ni 3.28-3.46, 7 Sn 3.39-3.63, 2 Hg 3.47
Pr (0.5000, 0.0000, 0.7623)  8 Ni 3.28-3.46, 7 Sn 3.39-3.63, 2 Hg 3.47
Ni (0.0000, 0.0000, 0.0000)  4 Sn 2.57
Ni (0.0000, 0.5000, 0.6284)  3 Sn 2.49-2.60, 2 Hg 2.60
Ni (0.5000, 0.0000, 0.3716)  3 Sn 2.49-2.60, 2 Hg 2.60
Ni (0.5000, 0.5000, 0.0000)  4 Sn 2.57
Sn (0.0000, 0.5000, 0.8761)  5 Ni 2.49-2.57
Sn (0.5000, 0.0000, 0.1239)  5 Ni 2.49-2.57
Sn (0.5000, 0.5000, 0.5000)  4 Ni 2.60
Hg (0.0000, 0.0000, 0.5000)  4 Ni 2.60

Results
SG   P-4m2, No. 115
DFT formation energy   -0.4431 eV/atom


no.,density (g/cm3),E (eV/atom),D(E_F) (states/eV/atom)
1,10.85,-4.773,0.68
2,8.73,-4.943,0.78